(1)
8
Lattice="-2.422 1.720 -7.031 4.638 -5.324 -2.900 -1.064 -3.832 -4.714" Properties=species:S:1:pos:R:3 comment="CaTeIr2 | the Alexandria database | GGA-PBE | optimized geometry" raw_formation_energy_mev_per_atom=240 total_magnetization_mub_per_cell=0.0 vol_a3_per_cell=173.86 dos_ef_per_ev_atom=0.64 dft_energy_ev_per_atom=-5.48 pbc="T T T"
Ca 1.108 -1.802 -4.966
Ca 2.341 -5.479 -6.290
Ir -1.317 -0.465 -6.276
Ir 2.447 -4.153 -3.529
Ir -0.192 -3.967 -7.119
Ir 1.365 -6.285 -12.366
Te 0.000 0.000 0.000
Te -1.189 -1.957 -8.356

---

(2)
4
Lattice="-3.699 -2.002 -3.896 1.460 -4.560 -3.152 -0.870 2.086 5.268" Properties=species:S:1:pos:R:3 comment="CaTeIr2 | the Alexandria database | GGA-PBE | optimized geometry" raw_formation_energy_mev_per_atom=-7 total_magnetization_mub_per_cell=0.0 vol_a3_per_cell=78.03 dos_ef_per_ev_atom=0.85 dft_energy_ev_per_atom=-5.72 pbc="T T T"
Ca -0.273 -2.903 -0.731
Ir -2.169 -6.360 -6.830
Ir -2.833 -1.565 -1.039
Te -1.191 -3.492 -3.750

---

(3)
4
Lattice="-3.716 7.596 -3.249 -6.331 5.757 -2.972 -5.235 7.381 -0.431" Properties=species:S:1:pos:R:3 comment="CaTeIr2 | the Alexandria database | GGA-PBE | optimized geometry" raw_formation_energy_mev_per_atom=334 total_magnetization_mub_per_cell=0.0 vol_a3_per_cell=79.07 dos_ef_per_ev_atom=0.81 dft_energy_ev_per_atom=-5.38 pbc="T T T"
Ca -11.462 15.550 -4.989
Ir -15.190 20.607 -6.611
Ir -7.735 10.493 -3.366
Te -3.821 5.183 -1.663

---

(4)
4
Lattice="4.416 -0.012 0.008 2.221 3.817 0.008 2.198 1.260 5.414" Properties=species:S:1:pos:R:3 comment="CaTeIr2 | the Alexandria database | GGA-PBE | optimized geometry" raw_formation_energy_mev_per_atom=-230 total_magnetization_mub_per_cell=0.0 vol_a3_per_cell=91.31 dos_ef_per_ev_atom=0.57 dft_energy_ev_per_atom=-5.95 pbc="T T T"
Ca 2.211 1.268 1.096
Ir 2.200 1.261 4.570
Ir 6.625 3.798 4.600
Te 4.415 2.531 3.292